This record from Alexandria via LeMat-Bulk describes an optimized crystal structure of Sr2MnCu. The functional is GGA-PBE.

a = 6.6196 Å, b = 6.6196 Å, c = 5.2604 Å
α = 113.30°, β = 113.30°, γ = 33.48°
Fractional positions:
Sr  0.0000  0.0000  0.0000
Sr  0.2118  0.2118  0.7105
Mn  0.4047  0.4047  0.4047
Cu  0.7644  0.7644  0.2622

Output
Space group: No. 8
Relative energy among the computed polymorphs (eV per atom): 0.0841
Energy of formation (eV/atom): 0.313